Record 1
# Na4EuTl | Alexandria | PBE | optimized geometry
# - size of the total moment (μB per cell) = 29.82
# - calculated density (g/cm³) = 3.75
# - total energy (eV/f.u.) = -17.7
# - ΔH_f (0 K) (eV/f.u.) = 0.192
data_Na4EuTl
_space_group_name_H-M_alt 'F -4 3 m'
_space_group_IT_number 216
_space_group_name_Hall 'F -4 2 3'
_cell_length_a 9.256
_cell_length_b 9.256
_cell_length_c 9.256
_cell_angle_alpha 90.00
_cell_angle_beta 90.00
_cell_angle_gamma 90.00
loop_
_atom_site_label
_atom_site_fract_x
_atom_site_fract_y
_atom_site_fract_z
Na1 0.124 0.124 0.376
Eu1 0.000 0.000 0.000
Tl1 0.250 0.250 0.750



Record 2
# NaPrSbAu | Alexandria | PBE | optimized geometry
# - size of the total moment (μB per cell) = 0.00
# - calculated density (g/cm³) = 7.55
# - total energy (eV/f.u.) = -16.3
# - E_form (uncorrected) (eV per formula unit) = -2.76
data_NaPrSbAu
_space_group_name_H-M_alt 'F -4 3 m'
_space_group_IT_number 216
_space_group_name_Hall 'F -4 2 3'
_cell_length_a 7.516
_cell_length_b 7.516
_cell_length_c 7.516
_cell_angle_alpha 90.00
_cell_angle_beta 90.00
_cell_angle_gamma 90.00
loop_
_atom_site_label
_atom_site_fract_x
_atom_site_fract_y
_atom_site_fract_z
Na1 0.000 0.000 0.000
Pr1 0.000 0.000 0.500
Sb1 0.250 0.250 0.750
Au1 0.250 0.250 0.250



Record 3
# HgHF | Alexandria | PBE | optimized geometry
# - size of the total moment (μB per cell) = 0.00
# - calculated density (g/cm³) = 6.94
# - total energy (eV/f.u.) = -7.5
# - energy relative to the lowest polymorph listed for this composition (eV/f.u.) = 0.852
data_HgHF
_space_group_name_H-M_alt 'C 1 m 1'
_space_group_IT_number 8
_space_group_name_Hall 'C -2y'
_cell_length_a 5.231
_cell_length_b 5.382
_cell_length_c 3.754
_cell_angle_alpha 90.00
_cell_angle_beta 93.26
_cell_angle_gamma 90.00
loop_
_atom_site_label
_atom_site_fract_x
_atom_site_fract_y
_atom_site_fract_z
Hg1 0.000 0.000 0.000
H1 0.245 0.500 0.744
F1 0.329 0.000 0.330



Record 4
# Ta2ZnHRh | Alexandria | PBE | optimized geometry
# - size of the total moment (μB per cell) = 0.00
# - calculated density (g/cm³) = 13.25
# - total energy (eV/f.u.) = -36.4
# - energy relative to the lowest polymorph listed for this composition (eV/f.u.) = 0.000
data_Ta2ZnHRh
_space_group_name_H-M_alt 'P 4/m m m'
_space_group_IT_number 123
_space_group_name_Hall '-P 4 2'
_cell_length_a 4.101
_cell_length_b 4.101
_cell_length_c 3.958
_cell_angle_alpha 90.00
_cell_angle_beta 90.00
_cell_angle_gamma 90.00
loop_
_atom_site_label
_atom_site_fract_x
_atom_site_fract_y
_atom_site_fract_z
Ta1 0.000 0.500 0.000
Zn1 0.000 0.000 0.500
H1 0.500 0.500 0.000
Rh1 0.500 0.500 0.500



Record 5
# Ac5Pm4Sm | Alexandria | PBE | optimized geometry
# - size of the total moment (μB per cell) = 0.00
# - calculated density (g/cm³) = 7.89
# - total energy (eV/f.u.) = -43.9
# - ΔH_f (0 K) (eV/f.u.) = 0.332
data_Ac5Pm4Sm
_space_group_name_H-M_alt 'P 4/m m m'
_space_group_IT_number 123
_space_group_name_Hall '-P 4 2'
_cell_length_a 3.885
_cell_length_b 3.885
_cell_length_c 26.018
_cell_angle_alpha 90.00
_cell_angle_beta 90.00
_cell_angle_gamma 90.00
loop_
_atom_site_label
_atom_site_fract_x
_atom_site_fract_y
_atom_site_fract_z
Ac1 0.000 0.000 0.000
Ac2 0.000 0.000 0.200
Ac3 0.000 0.000 0.400
Pm1 0.500 0.500 0.100
Pm2 0.500 0.500 0.300
Sm1 0.500 0.500 0.500



Record 6
# BaLaIn | Alexandria | PBE | optimized geometry
# - size of the total moment (μB per cell) = 0.00
# - calculated density (g/cm³) = 5.30
# - total energy (eV/f.u.) = -10.6
# - ΔH_f (0 K) (eV/f.u.) = -0.968
# - energy relative to the lowest polymorph listed for this composition (eV/f.u.) = 0.000
data_BaLaIn
_space_group_name_H-M_alt 'P 1 21/m 1'
_space_group_IT_number 11
_space_group_name_Hall '-P 2yb'
_cell_length_a 5.311
_cell_length_b 5.311
_cell_length_c 8.692
_cell_angle_alpha 90.00
_cell_angle_beta 90.06
_cell_angle_gamma 90.00
loop_
_atom_site_label
_atom_site_fract_x
_atom_site_fract_y
_atom_site_fract_z
Ba1 0.250 0.250 0.137
La1 0.250 0.750 0.500
In1 0.251 0.250 0.732



Record 7
# MgInGa6 | Alexandria | PBE | optimized geometry
# - size of the total moment (μB per cell) = 0.00
# - calculated density (g/cm³) = 5.76
# - total energy (eV/f.u.) = -22.5
# - ΔH_f (0 K) (eV/f.u.) = -0.016
# - energy relative to the lowest polymorph listed for this composition (eV/f.u.) = 0.081
data_MgInGa6
_space_group_name_H-M_alt 'P m m 2'
_space_group_IT_number 25
_space_group_name_Hall 'P 2 -2'
_cell_length_a 5.125
_cell_length_b 6.018
_cell_length_c 5.215
_cell_angle_alpha 90.00
_cell_angle_beta 90.00
_cell_angle_gamma 90.00
loop_
_atom_site_label
_atom_site_fract_x
_atom_site_fract_y
_atom_site_fract_z
Mg1 0.000 0.000 0.000
In1 0.500 0.500 0.674
Ga1 0.000 0.244 0.501
Ga2 0.000 0.500 0.024
Ga3 0.500 0.000 0.675
Ga4 0.500 0.243 0.180



Record 8
# LiY4Mg5 | Alexandria | PBE | optimized geometry
# - size of the total moment (μB per cell) = 0.00
# - calculated density (g/cm³) = 3.05
# - total energy (eV/f.u.) = -36.6
# - ΔH_f (0 K) (eV/f.u.) = -0.872
data_LiY4Mg5
_space_group_name_H-M_alt 'P 4/m m m'
_space_group_IT_number 123
_space_group_name_Hall '-P 4 2'
_cell_length_a 3.728
_cell_length_b 3.728
_cell_length_c 18.954
_cell_angle_alpha 90.00
_cell_angle_beta 90.00
_cell_angle_gamma 90.00
loop_
_atom_site_label
_atom_site_fract_x
_atom_site_fract_y
_atom_site_fract_z
Li1 0.000 0.000 0.000
Y1 0.000 0.000 0.196
Y2 0.000 0.000 0.397
Mg1 0.500 0.500 0.086
Mg2 0.500 0.500 0.296
Mg3 0.500 0.500 0.500



Record 9
# Ta2TlRe | Alexandria | PBE | optimized geometry
# - size of the total moment (μB per cell) = 0.00
# - calculated density (g/cm³) = 16.93
# - total energy (eV/f.u.) = -37.3
# - ΔH_f (0 K) (eV/f.u.) = 1.208
# - energy relative to the lowest polymorph listed for this composition (eV/f.u.) = 0.387
data_Ta2TlRe
_space_group_name_H-M_alt 'P m m m'
_space_group_IT_number 47
_space_group_name_Hall '-P 2 2'
_cell_length_a 3.177
_cell_length_b 3.821
_cell_length_c 6.082
_cell_angle_alpha 90.00
_cell_angle_beta 90.00
_cell_angle_gamma 90.00
loop_
_atom_site_label
_atom_site_fract_x
_atom_site_fract_y
_atom_site_fract_z
Ta1 0.000 0.000 0.219
Tl1 0.500 0.500 0.500
Re1 0.500 0.500 0.000



Record 10
# Si2SbPb2 | Alexandria | PBE | optimized geometry
# - size of the total moment (μB per cell) = 0.00
# - calculated density (g/cm³) = 7.74
# - total energy (eV/f.u.) = -20.6
# - energy relative to the lowest polymorph listed for this composition (eV/f.u.) = 0.501
# - E_form (uncorrected) (eV per formula unit) = 1.78
data_Si2SbPb2
_space_group_name_H-M_alt 'P 4/m b m'
_space_group_IT_number 127
_space_group_name_Hall '-P 4 2ab'
_cell_length_a 7.490
_cell_length_b 7.490
_cell_length_c 4.528
_cell_angle_alpha 90.00
_cell_angle_beta 90.00
_cell_angle_gamma 90.00
loop_
_atom_site_label
_atom_site_fract_x
_atom_site_fract_y
_atom_site_fract_z
Si1 0.113 0.387 0.000
Sb1 0.000 0.000 0.000
Pb1 0.188 0.688 0.500



Record 11
# AcCuCl | Alexandria | PBE | optimized geometry
# - size of the total moment (μB per cell) = 0.00
# - calculated density (g/cm³) = 5.98
# - total energy (eV/f.u.) = -13.5
# - E_form (uncorrected) (eV per formula unit) = -3.42
data_AcCuCl
_space_group_name_H-M_alt 'C 1 2/m 1'
_space_group_IT_number 12
_space_group_name_Hall '-C 2y'
_cell_length_a 7.444
_cell_length_b 4.362
_cell_length_c 11.154
_cell_angle_alpha 90.00
_cell_angle_beta 92.04
_cell_angle_gamma 90.00
loop_
_atom_site_label
_atom_site_fract_x
_atom_site_fract_y
_atom_site_fract_z
Ac1 0.020 0.000 0.315
Cu1 0.167 0.500 0.501
Cl1 0.181 0.500 0.152



Record 12
# Zn2CuTc | Alexandria | PBE | optimized geometry
# - size of the total moment (μB per cell) = 0.00
# - calculated density (g/cm³) = 8.85
# - total energy (eV/f.u.) = -16.4
# - ΔH_f (0 K) (eV/f.u.) = 0.597
# - energy relative to the lowest polymorph listed for this composition (eV/f.u.) = 0.575
data_Zn2CuTc
_space_group_name_H-M_alt 'I 4/m m m'
_space_group_IT_number 139
_space_group_name_Hall '-I 4 2'
_cell_length_a 3.826
_cell_length_b 3.826
_cell_length_c 7.498
_cell_angle_alpha 90.00
_cell_angle_beta 90.00
_cell_angle_gamma 90.00
loop_
_atom_site_label
_atom_site_fract_x
_atom_site_fract_y
_atom_site_fract_z
Zn1 0.000 0.500 0.250
Cu1 0.000 0.000 0.000
Tc1 0.000 0.000 0.500